Ac3Si5Se12 (PBE, relaxed); raw formation energy = -0.876 eV per atom; SG = Ia-3d (230); total moment = 0.000 μB/atom; final energy = -395.1 eV/cell
1.0
-8.1680 8.1680 8.1680
8.1680 -8.1680 8.1680
8.1680 8.1680 -8.1680
Ac Si Se
12 20 48
direct
0.1250 0.2500 0.3750
0.1250 0.3750 0.7500
0.2500 0.3750 0.1250
0.2500 0.8750 0.6250
0.3750 0.1250 0.2500
0.3750 0.7500 0.1250
0.6250 0.2500 0.8750
0.6250 0.8750 0.7500
0.7500 0.1250 0.3750
0.7500 0.6250 0.8750
0.8750 0.6250 0.2500
0.8750 0.7500 0.6250
0.0000 0.0000 0.0000
0.0000 0.0000 0.5000
0.0000 0.5000 0.0000
0.0000 0.5000 0.5000
0.1250 0.7500 0.8750
0.1250 0.8750 0.2500
0.2500 0.1250 0.8750
0.2500 0.6250 0.3750
0.3750 0.2500 0.6250
0.3750 0.6250 0.7500
0.5000 0.0000 0.0000
0.5000 0.0000 0.5000
0.5000 0.5000 0.0000
0.5000 0.5000 0.5000
0.6250 0.3750 0.2500
0.6250 0.7500 0.3750
0.7500 0.3750 0.6250
0.7500 0.8750 0.1250
0.8750 0.1250 0.7500
0.8750 0.2500 0.1250
0.0196 0.2061 0.1170
0.0196 0.3135 0.9026
0.0890 0.7061 0.6865
0.0890 0.8830 0.4026
0.0974 0.6170 0.4110
0.0974 0.9804 0.6865
0.1170 0.0196 0.2061
0.1170 0.5974 0.9110
0.1865 0.2061 0.5890
0.1865 0.4804 0.5974
0.2061 0.1170 0.0196
0.2061 0.5890 0.1865
0.2939 0.3135 0.9110
0.2939 0.4804 0.3830
0.3135 0.9026 0.0196
0.3135 0.9110 0.2939
0.3830 0.2939 0.4804
0.3830 0.5890 0.9026
0.4026 0.0890 0.8830
0.4026 0.8135 0.5196
0.4110 0.0974 0.6170
0.4110 0.8135 0.7939
0.4804 0.3830 0.2939
0.4804 0.5974 0.1865
0.5196 0.4026 0.8135
0.5196 0.6170 0.7061
0.5890 0.1865 0.2061
0.5890 0.9026 0.3830
0.5974 0.1865 0.4804
0.5974 0.9110 0.1170
0.6170 0.4110 0.0974
0.6170 0.7061 0.5196
0.6865 0.0890 0.7061
0.6865 0.0974 0.9804
0.7061 0.5196 0.6170
0.7061 0.6865 0.0890
0.7939 0.4110 0.8135
0.7939 0.8830 0.9804
0.8135 0.5196 0.4026
0.8135 0.7939 0.4110
0.8830 0.4026 0.0890
0.8830 0.9804 0.7939
0.9026 0.0196 0.3135
0.9026 0.3830 0.5890
0.9110 0.1170 0.5974
0.9110 0.2939 0.3135
0.9804 0.6865 0.0974
0.9804 0.7939 0.8830